Below is an optimized crystal structure of Mg2AlSi, with properties calculated at the PBE level.

Properties
- density of states at the Fermi level (states/eV/atom) = 0.241
- crystal system = monoclinic
- raw formation energy (eV per atom) = 0.08
- SG = No. 12
- total energy (eV per atom) = -3.014
- mass density (g/cm3) = 2.30

Lattice parameters (Å, degrees): 4.895 4.895 5.305 78.47 78.47 37.05
Positions (direct):
Al: 0.750 0.750 0.750
Mg: 0.994 0.994 0.004
Mg: 0.506 0.506 0.496
Si: 0.250 0.250 0.250

---

Below is an optimized crystal structure of Fe2Co4Pt3, with properties calculated at the PBE level.

Properties
- density of states at the Fermi level (states/eV/atom) = 2.780
- DFT formation energy (eV/atom) = 0.247
- crystal system = orthorhombic
- SG = No. 71
- total energy (eV per atom) = -6.805
- mass density (g/cm3) = 13.78

Lattice parameters (Å, degrees): 7.221 7.221 7.221 159.11 122.68 61.69
Positions (direct):
Fe: 0.176 0.000 0.176
Fe: 0.824 0.000 0.824
Co: 0.504 0.828 0.675
Co: 0.847 0.172 0.675
Co: 0.496 0.172 0.325
Co: 0.153 0.828 0.325
Pt: 0.148 0.648 0.500
Pt: 0.500 0.500 0.000
Pt: 0.852 0.352 0.500

---

Below is an optimized crystal structure of Zn2Cu3, with properties calculated at the PBE level.

Properties
- density of states at the Fermi level (states/eV/atom) = 0.266
- DFT formation energy (eV/atom) = -0.072
- crystal system = monoclinic
- SG = No. 12
- total energy (eV per atom) = -3.040
- mass density (g/cm3) = 8.33

Lattice parameters (Å, degrees): 3.778 4.442 4.626 77.43 65.90 64.83
Positions (direct):
Zn: 0.405 0.892 0.297
Zn: 0.595 0.108 0.703
Cu: 0.799 0.301 0.101
Cu: 0.000 0.500 0.500
Cu: 0.201 0.699 0.899

---

Below is an optimized crystal structure of Na6GaAg2, with properties calculated at the PBE level.

Properties
- density of states at the Fermi level (states/eV/atom) = 0.339
- DFT formation energy (eV/atom) = -0.022
- crystal system = trigonal
- SG = No. 166
- total energy (eV per atom) = -1.872
- mass density (g/cm3) = 2.89

Lattice parameters (Å, degrees): 5.322 5.322 10.395 75.17 75.17 60.00
Positions (direct):
Na: 0.580 0.580 0.260
Na: 0.809 0.809 0.573
Na: 0.697 0.697 0.908
Na: 0.191 0.191 0.427
Na: 0.420 0.420 0.740
Na: 0.303 0.303 0.092
Ga: 0.000 0.000 0.000
Ag: 0.913 0.913 0.260
Ag: 0.087 0.087 0.740